# 1
VASP calculation (PBE) on a relaxed structure of SnMo2As2.

Calculated values
**Crystal system**: tetragonal
**Energy relative to the lowest polymorph listed for this composition**: 0.069 eV/atom
**Formation enthalpy at 0 K**: 0.145 eV per atom
**Raw total energy**: -6.85 eV/atom
**DOS at the Fermi energy**: 3.70 states/eV/cell

a b c (Å): 7.886 7.886 7.886
angles (deg): 152.46 152.46 39.33
Fractional positions:
Sn 0.000 0.000 0.000
Mo 0.250 0.750 0.500
Mo 0.750 0.250 0.500
As 0.375 0.375 0.000
As 0.625 0.625 0.000


# 2
VASP calculation (PBE) on a relaxed structure of Sc2TaAs2.

Calculated values
**Crystal system**: tetragonal
**Formation enthalpy at 0 K**: -0.874 eV per atom
**Raw total energy**: -7.64 eV/atom
**DOS at the Fermi energy**: 7.10 states/eV/cell

a b c (Å): 7.011 7.011 3.738
angles (deg): 90.00 90.00 90.00
Fractional positions:
Sc 0.162 0.338 0.000
Sc 0.338 0.838 0.000
Sc 0.662 0.162 0.000
Sc 0.838 0.662 0.000
Ta 0.000 0.000 0.500
Ta 0.500 0.500 0.500
As 0.144 0.644 0.500
As 0.356 0.144 0.500
As 0.644 0.856 0.500
As 0.856 0.356 0.500


# 3
VASP calculation (PBE) on a relaxed structure of Cs3ZnSi.

Calculated values
**Crystal system**: cubic
**Formation energy without anion corrections**: 0.603 eV per atom
**Raw total energy**: -1.25 eV/atom
**DOS at the Fermi energy**: 2.07 states/eV/cell

a b c (Å): 6.900 6.900 6.900
angles (deg): 90.00 90.00 90.00
Fractional positions:
Cs 0.000 0.000 0.500
Cs 0.000 0.500 0.000
Cs 0.500 0.000 0.000
Zn 0.000 0.000 0.000
Si 0.500 0.500 0.500


# 4
VASP calculation (PBE) on a relaxed structure of Tl2SiPb.

Calculated values
**Crystal system**: trigonal
**Energy relative to the lowest polymorph listed for this composition**: 0.012 eV/atom
**Formation energy without anion corrections**: 0.283 eV per atom
**Raw total energy**: -3.18 eV/atom
**DOS at the Fermi energy**: 1.96 states/eV/cell

a b c (Å): 10.484 10.484 10.484
angles (deg): 19.46 19.46 19.46
Fractional positions:
Tl 0.000 0.000 0.000
Tl 0.241 0.241 0.241
Si 0.501 0.501 0.501
Pb 0.764 0.764 0.764


# 5
VASP calculation (PBE) on a relaxed structure of SrSmAs2Pd4.

Calculated values
**Crystal system**: tetragonal
**Formation enthalpy at 0 K**: -0.681 eV per atom
**Raw total energy**: -5.24 eV/atom
**DOS at the Fermi energy**: 5.42 states/eV/cell

a b c (Å): 4.170 4.170 10.126
angles (deg): 90.00 90.00 90.00
Fractional positions:
Sr 0.000 0.000 0.000
Sm 0.000 0.000 0.500
As 0.500 0.500 0.158
As 0.500 0.500 0.842
Pd 0.000 0.500 0.292
Pd 0.000 0.500 0.708
Pd 0.500 0.000 0.292
Pd 0.500 0.000 0.708


# 6
VASP calculation (PBE) on a relaxed structure of La5Sm6Dy2.

Calculated values
**Crystal system**: orthorhombic
**Formation enthalpy at 0 K**: 0.086 eV per atom
**Raw total energy**: -4.69 eV/atom
**DOS at the Fermi energy**: 32.71 states/eV/cell

a b c (Å): 11.844 21.020 3.667
angles (deg): 90.00 90.00 90.00
Fractional positions:
La 0.000 0.000 0.000
La 0.082 0.272 0.000
La 0.199 0.551 0.000
La 0.301 0.051 0.000
La 0.418 0.772 0.000
La 0.500 0.500 0.000
La 0.582 0.228 0.000
La 0.699 0.949 0.000
La 0.801 0.449 0.000
La 0.918 0.728 0.000
Sm 0.061 0.418 0.500
Sm 0.082 0.131 0.500
Sm 0.175 0.860 0.000
Sm 0.325 0.360 0.000
Sm 0.418 0.631 0.500
Sm 0.439 0.918 0.500
Sm 0.561 0.082 0.500
Sm 0.582 0.369 0.500
Sm 0.675 0.640 0.000
Sm 0.825 0.140 0.000
Sm 0.918 0.869 0.500
Sm 0.939 0.582 0.500
Dy 0.173 0.710 0.500
Dy 0.327 0.210 0.500
Dy 0.673 0.790 0.500
Dy 0.827 0.290 0.500